1.
A relaxed Y2Si2Tc2B crystal. Source: Alexandria via LeMat-Bulk, functional PBE.

Structure (CIF):
```
data_Y2Si2Tc2B
_cell_length_a 10.9325
_cell_length_b 4.0439
_cell_length_c 6.9595
_cell_angle_alpha 90.00
_cell_angle_beta 126.76
_cell_angle_gamma 90.00
_space_group_name_H-M_alt 'C 1 2/m 1'
_space_group_IT_number 12
loop_
_space_group_symop_operation_xyz
'x,y,z'
'-x,-y,-z'
'-x,y,-z'
'x,-y,z'
'x+1/2,y+1/2,z'
'-x+1/2,-y+1/2,-z'
'-x+1/2,y+1/2,-z'
'x+1/2,-y+1/2,z'
loop_
_atom_site_label
_atom_site_fract_x
_atom_site_fract_y
_atom_site_fract_z
Y1 0.0746 0.0000 0.3059
Si1 0.1397 0.5000 0.6834
Tc1 0.2137 0.5000 0.0952
B1 0.0000 0.5000 0.0000
```

Results
**Formation energy (no corrections)**: -674.8 meV/atom

2.
A relaxed TeSN crystal. Source: Alexandria via LeMat-Bulk, functional PBE.

Structure (CIF):
```
data_TeSN
_cell_length_a 7.4877
_cell_length_b 6.5301
_cell_length_c 8.9890
_cell_angle_alpha 90.00
_cell_angle_beta 94.61
_cell_angle_gamma 90.00
_space_group_name_H-M_alt 'C 1 2/m 1'
_space_group_IT_number 12
loop_
_space_group_symop_operation_xyz
'x,y,z'
'-x,-y,-z'
'-x,y,-z'
'x,-y,z'
'x+1/2,y+1/2,z'
'-x+1/2,-y+1/2,-z'
'-x+1/2,y+1/2,-z'
'x+1/2,-y+1/2,z'
loop_
_atom_site_label
_atom_site_fract_x
_atom_site_fract_y
_atom_site_fract_z
Te1 0.1855 0.0000 0.3584
S1 0.2119 0.0000 0.6085
N1 0.0733 0.5000 0.9932
```

Results
**Relative energy among the computed polymorphs**: 0.000 eV/atom
**Formation energy (no corrections)**: 154.5 meV/atom

3.
A relaxed Pa2IrC crystal. Source: Alexandria via LeMat-Bulk, functional PBE.

Structure (CIF):
```
data_Pa2IrC
_cell_length_a 3.6195
_cell_length_b 3.6195
_cell_length_c 20.2775
_cell_angle_alpha 90.00
_cell_angle_beta 90.00
_cell_angle_gamma 120.00
_space_group_name_H-M_alt 'R -3 m'
_space_group_IT_number 166
_space_group_name_Hall '-R 3 2"'
loop_
_atom_site_label
_atom_site_fract_x
_atom_site_fract_y
_atom_site_fract_z
Pa1 0.0000 0.0000 0.2378
Ir1 0.0000 0.0000 0.0000
C1 0.0000 0.0000 0.5000
```

Results
**Energy relative to the elements**: -490 meV per atom
**Relative energy among the computed polymorphs**: 0.000 eV/atom

4.
A relaxed RhSe crystal. Source: Alexandria via LeMat-Bulk, functional PBE.

Structure (CIF):
```
data_RhSe
_cell_length_a 3.7654
_cell_length_b 3.7654
_cell_length_c 5.6594
_cell_angle_alpha 90.00
_cell_angle_beta 90.00
_cell_angle_gamma 120.00
_space_group_name_H-M_alt 'P 63/m m c'
_space_group_IT_number 194
_space_group_name_Hall '-P 6c 2c'
loop_
_atom_site_label
_atom_site_fract_x
_atom_site_fract_y
_atom_site_fract_z
Rh1 0.0000 0.0000 0.0000
Se1 0.3333 0.6667 0.2500
```

Results
**Formation energy (no corrections)**: -224.2 meV/atom

DOS at the Fermi energy (states/eV/f.u.)
3.869, 0.100, 6.248, 2.385
Total magnetic moment (μB per cell)
0.0, 0.0, 0.0, 0.0